{"formula": "CaHfNi2P", "functional": "PBE", "state": "optimized geometry", "final_energy_ev_per_atom": -5.913, "magmom_total_mub_per_cell": 0.00, "formation_enthalpy_0k_mev_per_atom": -128, "lattice_angstrom": [[4.3928, 0.0000, 0.0000], [0.0000, 4.7897, 0.0000], [0.0000, 0.0000, 4.3928]], "species": ["Ni", "Ni", "Ca", "Hf", "P"], "fractional_positions": [[0.0000, 0.0000, 0.5000], [0.5000, 0.0000, 0.0000], [0.5000, 0.5000, 0.5000], [0.0000, 0.5000, 0.0000], [0.0000, 0.0000, 0.0000]]}

---

{"formula": "ThScCdTc", "functional": "PBE", "state": "optimized geometry", "final_energy_ev_per_atom": -6.314, "magmom_total_mub_per_cell": 0.00, "formation_enthalpy_0k_mev_per_atom": -56, "polymorph_energy_ev_per_atom": 0.157, "lattice_angstrom": [[5.0324, 0.0000, 0.0000], [2.5162, 4.3582, 0.0000], [2.5162, 1.4527, 4.1089]], "species": ["Sc", "Tc", "Th", "Cd"], "fractional_positions": [[0.7500, 0.7500, 0.7500], [0.5000, 0.5000, 0.5000], [0.2500, 0.2500, 0.2500], [0.0000, 0.0000, 0.0000]]}

---

{"formula": "Al3V12Sb", "functional": "PBE", "state": "optimized geometry", "final_energy_ev_per_atom": -7.954, "magmom_total_mub_per_cell": 0.00, "formation_energy_uncorrected_ev_per_atom": -0.155, "lattice_angstrom": [[-0.1612, -4.6011, -1.5994], [3.2262, -1.3015, 3.4190], [-7.1709, -1.8553, 6.0602]], "species": ["Al", "Al", "Al", "V", "V", "V", "V", "V", "V", "V", "V", "V", "V", "V", "V", "Sb"], "fractional_positions": [[0.5000, 0.5000, 0.2493], [0.5000, 0.5000, 0.7507], [0.0000, 0.0000, 0.0000], [0.5000, 0.0000, 0.3657], [0.5000, 0.0000, 0.8796], [0.7648, 0.5000, 0.0000], [0.7376, 0.5000, 0.5000], [0.0000, 0.7374, 0.2418], [0.0000, 0.7374, 0.7582], [0.5000, 0.0000, 0.1204], [0.5000, 0.0000, 0.6343], [0.2352, 0.5000, 0.0000], [0.2624, 0.5000, 0.5000], [0.0000, 0.2626, 0.2418], [0.0000, 0.2626, 0.7582], [0.0000, 0.0000, 0.5000]]}